Record 1
Below is a relaxed structure of SbIrI2Cl, with properties calculated at the PBE-GGA level.

POSCAR file:
```
SbIrI2Cl
1.0
5.533 0.000 0.000
0.000 5.533 0.000
0.000 0.000 5.048
Sb Ir I Cl
1 1 2 1
direct
0.000 0.000 0.000 Sb
0.000 0.000 0.500 Ir
0.000 0.500 0.500 I
0.500 0.000 0.500 I
0.500 0.500 0.000 Cl
```

Summary:
**Uncorrected formation energy**: 0.346 eV per atom
**M_tot**: 0.00 μB per formula unit
**Energy**: -3.24 eV/atom

Record 2
Below is a relaxed structure of Re2RhSe, with properties calculated at the PBE-GGA level.

POSCAR file:
```
Re2RhSe
1.0
2.897 0.000 0.000
0.000 4.091 0.000
-1.350 0.000 5.129
Re Rh Se
2 1 1
direct
0.131 0.000 0.255 Re
0.869 0.000 0.745 Re
0.500 0.500 0.000 Rh
0.500 0.500 0.500 Se
```

Summary:
**Uncorrected formation energy**: 0.449 eV per atom
**M_tot**: 0.00 μB per formula unit
**Energy**: -8.48 eV/atom

Record 3
Below is a relaxed structure of Ba5P2AuO, with properties calculated at the PBE-GGA level.

POSCAR file:
```
Ba5P2AuO
1.0
2.347 -9.652 0.000
2.347 9.652 0.000
0.000 0.000 13.298
Ba P Au O
10 4 2 2
direct
0.007 0.993 0.500 Ba
0.276 0.724 0.729 Ba
0.336 0.664 0.030 Ba
0.356 0.644 0.385 Ba
0.469 0.531 0.756 Ba
0.531 0.469 0.256 Ba
0.644 0.356 0.885 Ba
0.664 0.336 0.530 Ba
0.724 0.276 0.229 Ba
0.993 0.007 0.000 Ba
0.105 0.895 0.706 P
0.149 0.851 0.356 P
0.851 0.149 0.856 P
0.895 0.105 0.206 P
0.162 0.838 0.075 Au
0.838 0.162 0.575 Au
0.484 0.516 0.430 O
0.516 0.484 0.930 O
```

Summary:
**Uncorrected formation energy**: -1.192 eV per atom
**M_tot**: 0.00 μB per formula unit
**Energy**: -4.38 eV/atom

Q: What is the energy in the third record?
A: -4.38 eV/atom

Q: uncorrected formation energy of number 3 (Ba5P2AuO)?
A: -1.192 eV per atom

Q: The highest uncorrected formation energy belongs to which entry?
A: Re2RhSe

Q: Among the records above, which one has the highest energy?
A: SbIrI2Cl